No. 1
Below is a geometry-optimized As2PtSeCl structure, with properties calculated at the PBE level.

Lattice parameters (Å, degrees): 4.7520 4.7520 4.9472 90.00 90.00 90.00
Positions (direct):
1 As 0.0000 0.5000 0.0000
2 As 0.5000 0.0000 0.0000
3 Se 0.0000 0.0000 0.5000
4 Pt 0.5000 0.5000 0.5000
5 Cl 0.0000 0.0000 0.0000

Energy above the lowest structure with this stoichiometry, kJ/mol of formula units: 362
DOS at the Fermi energy, states/eV/f.u.: 5.412
ΔE_f (raw), eV/f.u.: 6.53
Energy, eV for the cell shown: -14.14

---

No. 2
Below is a geometry-optimized CePaGe2 structure, with properties calculated at the PBE level.

Lattice parameters (Å, degrees): 3.2223 3.2223 10.1040 80.82 80.82 60.00
Positions (direct):
1 Ge 0.7495 0.7495 0.7516
2 Ge 0.2505 0.2505 0.2484
3 Pa 0.0000 0.0000 0.0000
4 Ce 0.5000 0.5000 0.5000

Energy of formation, meV per atom: -288
Energy above the lowest structure with this stoichiometry, kJ/mol of formula units: 103
DOS at the Fermi energy, states/eV/f.u.: 5.583
Energy, eV for the cell shown: -25.82

---

No. 3
Below is a geometry-optimized Na2MgCo structure, with properties calculated at the PBE level.

Lattice parameters (Å, degrees): 8.4004 8.4004 6.5449 50.08 50.08 90.00
Last column: magnetic moment on the atom in μB.
Positions (direct):
1 Na 0.6627 0.1250 0.2500  -0.01
2 Na 0.0873 0.6250 0.2500  -0.01
3 Na 0.3750 0.3373 0.7500  -0.01
4 Na 0.8750 0.9127 0.7500  -0.01
5 Mg 0.5000 0.5000 0.0000  -0.02
6 Mg 0.2500 0.7500 0.5000  -0.02
7 Co 0.0000 0.0000 0.0000  1.62
8 Co 0.7500 0.2500 0.5000  1.62

Energy of formation, meV per atom: 708
DOS at the Fermi energy, states/eV/f.u.: 6.146
Energy, eV for the cell shown: -17.02

---

No. 4
Below is a geometry-optimized Na2U2FeS6 structure, with properties calculated at the PBE level.

Lattice parameters (Å, degrees): 6.3288 6.3288 7.2715 98.61 98.61 118.82
Last column: magnetic moment on the atom in μB.
Positions (direct):
1 Na 0.8282 0.1718 0.0000  0.00
2 Na 0.1718 0.8282 0.0000  0.00
3 U 0.3340 0.6660 0.5000  2.00
4 U 0.6660 0.3340 0.5000  2.00
5 Fe 0.0000 0.0000 0.5000  -0.07
6 S 0.7792 0.7792 0.7121  -0.05
7 S 0.0738 0.3766 0.7138  -0.05
8 S 0.2208 0.2208 0.2878  -0.05
9 S 0.3766 0.0738 0.7138  -0.05
10 S 0.9262 0.6234 0.2862  -0.05
11 S 0.6234 0.9262 0.2862  -0.05

DOS at the Fermi energy, states/eV/f.u.: 15.332
ΔE_f (raw), eV/f.u.: -11.75
Energy, eV for the cell shown: -70.19

---

Number 1: magnetic moment 0.00 μB per cell. Number 2: magnetic moment 0.00 μB per cell. Number 3: magnetic moment 2.75 μB per cell. Number 4: magnetic moment 4.02 μB per cell.